Entry 1:
KCoSe2 | PBE | optimized geometry Values from VASP.

```
&SYSTEM
  ibrav = 0, nat = 4, ntyp = 3
/
ATOMIC_SPECIES
Co 58.93 Co.upf
K 39.10 K.upf
Se 78.96 Se.upf
ATOMIC_POSITIONS angstrom
Co 0.4909 -2.0005 5.7647
K 0.7364 -3.0007 8.6470
Se 0.0000 0.0000 0.0000
Se 0.2455 -1.0002 2.8823
CELL_PARAMETERS angstrom
-1.9364 -3.0754 3.4315
2.9961 -2.2803 3.2873
-0.0778 1.3548 4.8106
```

## Properties
M_tot (μB/atom): 0.572
Space group: No. 216
Total energy (eV/atom): -3.2072



Entry 2:
KCoSe2 | PBE | optimized geometry Values from VASP.

```
&SYSTEM
  ibrav = 0, nat = 4, ntyp = 3
/
ATOMIC_SPECIES
Co 58.93 Co.upf
K 39.10 K.upf
Se 78.96 Se.upf
ATOMIC_POSITIONS angstrom
Co 1.0243 -0.6652 2.4486
K 0.2118 0.0129 6.4167
Se -0.1073 0.0895 0.5241
Se -0.7053 0.5885 3.4440
CELL_PARAMETERS angstrom
-1.5581 -5.2126 0.5716
4.4193 3.2042 0.3575
-1.6252 1.3561 7.9362
```

## Properties
M_tot (μB/atom): 0.505
Space group: No. 65
Total energy (eV/atom): -4.0675



Entry 3:
KCoSe2 | PBE | optimized geometry Values from VASP.

```
&SYSTEM
  ibrav = 0, nat = 4, ntyp = 3
/
ATOMIC_SPECIES
Co 58.93 Co.upf
K 39.10 K.upf
Se 78.96 Se.upf
ATOMIC_POSITIONS angstrom
Co 0.0000 0.0000 2.5432
K 1.8649 1.5680 6.4523
Se 0.0000 0.0000 0.2064
Se 1.8649 1.5680 3.2343
CELL_PARAMETERS angstrom
3.7297 0.0000 0.0000
0.0000 3.1360 0.0000
0.0000 0.0000 8.2908
```

## Properties
M_tot (μB/atom): 0.564
Space group: No. 25
Total energy (eV/atom): -4.0012



Entry 4:
KCo2Se2 | PBE | optimized geometry Values from VASP.

```
&SYSTEM
  ibrav = 0, nat = 5, ntyp = 3
/
ATOMIC_SPECIES
K 39.10 K.upf
Co 58.93 Co.upf
Se 78.96 Se.upf
ATOMIC_POSITIONS angstrom
K 0.0000 0.0000 0.0000
Co -0.4773 -3.8181 1.3094
Co 2.0304 -3.4775 0.5521
Se 0.9857 -5.6456 0.7248
Se 0.1533 -3.2252 -0.9429
CELL_PARAMETERS angstrom
-2.9217 -1.9159 -1.3224
2.0936 -1.2346 -2.8370
1.9672 -5.7204 3.9412
```

## Properties
M_tot (μB/atom): 0.513
Energy above the lowest structure with this stoichiometry (eV per atom): 0.098
Space group: No. 123



Entry 5:
KCoSe2 | PBE | optimized geometry Values from VASP.

```
&SYSTEM
  ibrav = 0, nat = 4, ntyp = 3
/
ATOMIC_SPECIES
Co 58.93 Co.upf
K 39.10 K.upf
Se 78.96 Se.upf
ATOMIC_POSITIONS angstrom
Co -1.9482 -4.6812 -0.0223
K -2.6491 -1.6386 -1.0428
Se 0.0000 0.0000 0.0000
Se -1.9296 -1.9516 1.8050
CELL_PARAMETERS angstrom
-2.6676 -4.3683 -2.8701
-1.2287 -4.9942 2.8255
-0.6824 5.7722 0.8068
```

## Properties
M_tot (μB/atom): 0.572
Space group: No. 119
Total energy (eV/atom): -3.4387



Entry 6:
KCoSe2 | PBE | optimized geometry Values from VASP.

```
&SYSTEM
  ibrav = 0, nat = 4, ntyp = 3
/
ATOMIC_SPECIES
Co 58.93 Co.upf
K 39.10 K.upf
Se 78.96 Se.upf
ATOMIC_POSITIONS angstrom
Co -5.7834 1.3507 4.1428
K -8.3583 3.4443 6.9506
Se -10.1638 0.6293 6.1545
Se -1.4499 2.0226 2.1257
CELL_PARAMETERS angstrom
-5.8325 1.0527 1.6526
-4.3177 -0.6762 4.3310
-0.2533 4.3372 2.9430
```

## Properties
M_tot (μB/atom): 0.036
Space group: No. 8
Total energy (eV/atom): -4.1965



Entry 7:
K3CoSe3 | PBE | optimized geometry Values from VASP.

```
&SYSTEM
  ibrav = 0, nat = 28, ntyp = 3
/
ATOMIC_SPECIES
K 39.10 K.upf
Co 58.93 Co.upf
Se 78.96 Se.upf
ATOMIC_POSITIONS angstrom
K 4.5706 0.0000 11.0763
K 5.8221 0.0000 4.4848
K 1.1064 0.0000 8.6982
K 2.3579 0.0000 2.1067
K 4.6587 6.3367 4.8807
K 2.2698 3.4473 11.4722
K 4.6587 3.4473 1.7108
K 2.2698 6.3367 8.3023
K -1.1944 3.4473 8.3023
K 1.1944 6.3367 1.7108
K -1.1944 6.3367 11.4722
K 1.1944 3.4473 4.8807
Co 0.0000 8.1821 6.5915
Co 0.0000 1.6019 0.0000
Co 3.4643 1.6019 6.5915
Co 3.4643 8.1821 0.0000
Se 1.3871 0.0000 12.0184
Se 2.0772 0.0000 5.4269
Se 4.8514 0.0000 7.7561
Se 5.5414 0.0000 1.1646
Se 1.1872 6.8084 5.0904
Se 5.7413 2.9755 11.6819
Se 1.1872 2.9755 1.5011
Se -1.1872 6.8084 8.0926
Se 2.2771 2.9755 8.0926
Se -2.2771 6.8084 1.5011
Se 2.2771 6.8084 11.6819
Se 4.6515 2.9755 5.0904
CELL_PARAMETERS angstrom
6.9285 0.0000 0.0000
-3.4643 9.7840 0.0000
0.0000 0.0000 13.1830
```

## Properties
M_tot (μB/atom): 0.574
Space group: No. 64
Total energy (eV/atom): -3.7902



Entry 8:
KCo2Se | PBE | optimized geometry Values from VASP.

```
&SYSTEM
  ibrav = 0, nat = 4, ntyp = 3
/
ATOMIC_SPECIES
Co 58.93 Co.upf
K 39.10 K.upf
Se 78.96 Se.upf
ATOMIC_POSITIONS angstrom
Co 0.0000 0.0000 0.0000
Co -1.0805 1.5451 2.2182
K -0.5576 -3.1188 1.6554
Se -2.4982 -0.9305 1.3417
CELL_PARAMETERS angstrom
-3.0212 3.7334 1.9045
-1.9753 -5.5945 0.7789
0.8602 -0.6431 2.5320
```

## Properties
M_tot (μB/atom): 0.880
Space group: No. 12
Total energy (eV/atom): -3.9069



Entry 9:
KCoSe2 | PBE | optimized geometry Values from VASP.

```
&SYSTEM
  ibrav = 0, nat = 4, ntyp = 3
/
ATOMIC_SPECIES
Co 58.93 Co.upf
K 39.10 K.upf
Se 78.96 Se.upf
ATOMIC_POSITIONS angstrom
Co 1.1737 2.0777 1.5662
K 3.5645 -0.7905 1.5579
Se 0.5454 0.4547 0.0000
Se 2.8834 2.4034 0.0000
CELL_PARAMETERS angstrom
5.8195 -0.0100 -0.0083
1.0381 5.7262 0.0083
-2.1194 -4.4290 3.1240
```

## Properties
M_tot (μB/atom): 0.431
Space group: No. 71
Total energy (eV/atom): -4.1998



Entry 10:
K2CoSe2 | PBE | optimized geometry Values from VASP.

```
&SYSTEM
  ibrav = 0, nat = 10, ntyp = 3
/
ATOMIC_SPECIES
Co 58.93 Co.upf
K 39.10 K.upf
Se 78.96 Se.upf
ATOMIC_POSITIONS angstrom
Co -1.7859 2.5322 3.4944
Co -0.5953 0.8441 1.1648
K 3.6009 -1.7848 3.1335
K 2.1448 5.1476 1.5274
K 1.3674 1.3821 3.8586
K 4.3783 1.9807 0.8023
Se 4.0834 3.3796 3.7993
Se 1.6622 -0.0168 0.8616
Se -1.7327 0.1167 3.1913
Se 7.4783 3.2461 1.4696
CELL_PARAMETERS angstrom
8.1268 -0.0134 0.0016
2.7151 7.6598 -0.0016
-5.0962 -4.2836 4.6609
```

## Properties
M_tot (μB/atom): 0.601
Space group: No. 72
Total energy (eV/atom): -3.9932



Entry 11:
KCo2Se | PBE | optimized geometry Values from VASP.

```
&SYSTEM
  ibrav = 0, nat = 8, ntyp = 3
/
ATOMIC_SPECIES
K 39.10 K.upf
Co 58.93 Co.upf
Se 78.96 Se.upf
ATOMIC_POSITIONS angstrom
K -3.3622 -0.2895 -0.5810
K -5.7122 -1.0678 3.3147
Co -4.6617 2.6169 0.4452
Co -6.2805 0.8244 0.6155
Co -5.3306 1.9834 4.6314
Co -7.0739 3.4864 3.8801
Se 0.0000 0.0000 0.0000
Se -5.8367 2.2278 2.3930
CELL_PARAMETERS angstrom
-3.4867 3.0061 -1.5027
-3.2377 -3.5851 0.3406
-4.8245 1.7390 6.8698
```

## Properties
M_tot (μB/atom): 0.633
Space group: No. 141
Total energy (eV/atom): -4.5078



Entry 12:
KCo2Se | PBE | optimized geometry Values from VASP.

```
&SYSTEM
  ibrav = 0, nat = 4, ntyp = 3
/
ATOMIC_SPECIES
Co 58.93 Co.upf
K 39.10 K.upf
Se 78.96 Se.upf
ATOMIC_POSITIONS angstrom
Co -0.8095 0.1468 -0.1983
Co -3.1311 0.5679 -0.7669
K -1.1199 2.0757 -2.6820
Se -1.9843 1.8950 0.7133
CELL_PARAMETERS angstrom
-3.0762 0.8955 -4.3605
-4.8050 0.5340 2.4301
4.7770 2.5412 -0.0383
```

## Properties
M_tot (μB/atom): 0.706
Space group: No. 71
Total energy (eV/atom): -4.1042



Entry 13:
KCo2Se | PBE | optimized geometry Values from VASP.

```
&SYSTEM
  ibrav = 0, nat = 4, ntyp = 3
/
ATOMIC_SPECIES
Co 58.93 Co.upf
K 39.10 K.upf
Se 78.96 Se.upf
ATOMIC_POSITIONS angstrom
Co 2.0313 1.1701 4.6424
Co 4.1188 2.3727 4.3515
K 2.0664 1.1904 1.5192
Se 6.1993 3.5712 4.5575
CELL_PARAMETERS angstrom
4.1638 -0.0047 0.0605
2.0848 3.6043 0.0605
2.0172 1.1620 5.9556
```

## Properties
M_tot (μB/atom): 0.679
Space group: No. 12
Total energy (eV/atom): -4.6472



Entry 14:
KCoSe2 | PBE | optimized geometry Values from VASP.

```
&SYSTEM
  ibrav = 0, nat = 4, ntyp = 3
/
ATOMIC_SPECIES
Co 58.93 Co.upf
K 39.10 K.upf
Se 78.96 Se.upf
ATOMIC_POSITIONS angstrom
Co 1.8583 1.2669 1.4740
K 1.8583 3.8007 4.4220
Se 0.0000 1.2450 0.0548
Se 0.0000 1.2888 2.8932
CELL_PARAMETERS angstrom
3.7167 0.0000 0.0000
0.0000 4.9950 -0.0520
0.0000 0.0725 5.9480
```

## Properties
M_tot (μB/atom): 0.388
Space group: No. 10
Total energy (eV/atom): -4.2571



Entry 15:
KCo2Se2 | PBE | optimized geometry Values from VASP.

```
&SYSTEM
  ibrav = 0, nat = 5, ntyp = 3
/
ATOMIC_SPECIES
K 39.10 K.upf
Co 58.93 Co.upf
Se 78.96 Se.upf
ATOMIC_POSITIONS angstrom
K 0.0000 0.0000 0.0000
Co -1.7722 -3.8127 3.5086
Co 0.9166 -4.3289 3.2262
Se -0.3070 -2.7129 2.0360
Se -0.5486 -5.4287 4.6988
CELL_PARAMETERS angstrom
-3.2036 -2.1874 0.3234
2.1741 -3.2198 -0.2414
0.1739 -2.7344 6.6529
```

## Properties
M_tot (μB/atom): 0.416
Energy above the lowest structure with this stoichiometry (eV per atom): 0.000
Space group: No. 139



Entry 16:
KCoSe2 | PBE | optimized geometry Values from VASP.

```
&SYSTEM
  ibrav = 0, nat = 4, ntyp = 3
/
ATOMIC_SPECIES
Co 58.93 Co.upf
K 39.10 K.upf
Se 78.96 Se.upf
ATOMIC_POSITIONS angstrom
Co 3.8593 1.4347 -1.0182
K 6.9848 2.2855 0.4302
Se 8.5650 3.1839 -2.2597
Se 3.6662 1.0518 1.3057
CELL_PARAMETERS angstrom
-0.1019 1.9773 2.3998
1.2864 -2.1591 1.8337
8.7563 3.2551 -2.3102
```

## Properties
M_tot (μB/atom): 0.073
Space group: No. 99
Total energy (eV/atom): -3.8365



Entry 17:
KCo2Se | PBE | optimized geometry Values from VASP.

```
&SYSTEM
  ibrav = 0, nat = 4, ntyp = 3
/
ATOMIC_SPECIES
Co 58.93 Co.upf
K 39.10 K.upf
Se 78.96 Se.upf
ATOMIC_POSITIONS angstrom
Co 0.0000 0.0000 7.2410
Co 0.0000 0.0000 4.7321
K 1.5293 1.5256 1.9955
Se 1.5293 1.5256 5.9866
CELL_PARAMETERS angstrom
3.0550 -0.0038 0.0000
0.0036 3.0550 0.0000
0.0000 0.0000 7.9821
```

## Properties
M_tot (μB/atom): 0.409
Space group: No. 123
Total energy (eV/atom): -4.0713



Entry 18:
KCo2Se | PBE | optimized geometry Values from VASP.

```
&SYSTEM
  ibrav = 0, nat = 4, ntyp = 3
/
ATOMIC_SPECIES
Co 58.93 Co.upf
K 39.10 K.upf
Se 78.96 Se.upf
ATOMIC_POSITIONS angstrom
Co 0.0000 0.0000 0.0000
Co 2.3406 1.3513 0.9555
K 4.6812 2.7027 1.9111
Se 7.0218 4.0540 2.8666
CELL_PARAMETERS angstrom
4.6812 0.0000 0.0000
2.3406 4.0540 0.0000
2.3406 1.3513 3.8222
```

## Properties
M_tot (μB/atom): 0.892
Space group: No. 216
Total energy (eV/atom): -3.8960



Entry 19:
KCoSe2 | PBE | optimized geometry Values from VASP.

```
&SYSTEM
  ibrav = 0, nat = 4, ntyp = 3
/
ATOMIC_SPECIES
Co 58.93 Co.upf
K 39.10 K.upf
Se 78.96 Se.upf
ATOMIC_POSITIONS angstrom
Co 1.6213 1.6213 1.9766
K 1.6213 1.6213 5.9298
Se 0.0000 0.0000 0.4800
Se 0.0000 0.0000 3.4732
CELL_PARAMETERS angstrom
3.2426 0.0000 0.0000
0.0000 3.2426 0.0000
0.0000 0.0000 7.9063
```

## Properties
M_tot (μB/atom): 0.496
Space group: No. 123
Total energy (eV/atom): -3.9037



Entry 20:
KCoSe2 | PBE | optimized geometry Values from VASP.

```
&SYSTEM
  ibrav = 0, nat = 4, ntyp = 3
/
ATOMIC_SPECIES
Co 58.93 Co.upf
K 39.10 K.upf
Se 78.96 Se.upf
ATOMIC_POSITIONS angstrom
Co 0.0000 1.2605 1.4753
K 2.3191 3.7818 4.3784
Se 0.0000 1.2235 3.9337
Se 2.3191 1.2520 2.0213
CELL_PARAMETERS angstrom
4.6381 0.0000 0.0000
0.0000 5.1286 0.0755
0.0000 -0.0700 4.6782
```

## Properties
M_tot (μB/atom): 0.487
Space group: No. 25
Total energy (eV/atom): -4.1260



Entry 21:
KCo4Se | PBE | optimized geometry Values from VASP.

```
&SYSTEM
  ibrav = 0, nat = 6, ntyp = 3
/
ATOMIC_SPECIES
K 39.10 K.upf
Co 58.93 Co.upf
Se 78.96 Se.upf
ATOMIC_POSITIONS angstrom
K 5.3901 5.3901 5.3901
Co 2.6912 4.4956 4.4956
Co 4.4956 4.4956 2.6912
Co 4.4956 2.6912 4.4956
Co 2.6912 2.6912 2.6912
Se 0.0000 0.0000 0.0000
CELL_PARAMETERS angstrom
0.0000 3.5934 3.5934
3.5934 0.0000 3.5934
3.5934 3.5934 0.0000
```

## Properties
M_tot (μB/atom): 1.207
Space group: No. 216
Total energy (eV/atom): -4.8628



Entry 22:
KCoSe2 | PBE | optimized geometry Values from VASP.

```
&SYSTEM
  ibrav = 0, nat = 8, ntyp = 3
/
ATOMIC_SPECIES
K 39.10 K.upf
Co 58.93 Co.upf
Se 78.96 Se.upf
ATOMIC_POSITIONS angstrom
K 3.6383 3.6383 0.0000
K 3.6383 7.2766 1.9217
Co 0.0000 0.0000 0.0000
Co 7.2766 3.6383 1.9217
Se 6.3206 1.8192 0.9608
Se 0.9560 5.4575 0.9608
Se 5.4575 4.5943 2.8825
Se 9.0958 9.9590 2.8825
CELL_PARAMETERS angstrom
7.2766 0.0000 0.0000
0.0000 7.2766 0.0000
3.6383 3.6383 3.8434
```

## Properties
M_tot (μB/atom): 0.000
Space group: No. 122
Total energy (eV/atom): -4.3404



Entry 23:
KCoSe2 | PBE | optimized geometry Values from VASP.

```
&SYSTEM
  ibrav = 0, nat = 4, ntyp = 3
/
ATOMIC_SPECIES
K 39.10 K.upf
Co 58.93 Co.upf
Se 78.96 Se.upf
ATOMIC_POSITIONS angstrom
K 3.7179 2.1465 3.6544
Co 5.5768 3.2198 7.2494
Se 1.8589 1.0733 6.0929
Se 1.8589 1.0733 1.1596
CELL_PARAMETERS angstrom
3.7179 0.0000 0.0000
1.8589 3.2198 0.0000
1.8589 1.0733 7.2625
```

## Properties
M_tot (μB/atom): 0.000
Space group: No. 160
Total energy (eV/atom): -4.3557



Entry 24:
KCoSe2 | PBE | optimized geometry Values from VASP.

```
&SYSTEM
  ibrav = 0, nat = 8, ntyp = 3
/
ATOMIC_SPECIES
K 39.10 K.upf
Co 58.93 Co.upf
Se 78.96 Se.upf
ATOMIC_POSITIONS angstrom
K 2.2973 4.9375 -2.4498
K 1.0275 0.8211 5.1490
Co 2.9977 2.8847 1.0670
Co 0.3270 2.8739 1.6322
Se 4.0120 2.3922 -0.9264
Se 1.5495 4.6490 0.8814
Se -0.6873 3.3664 3.6256
Se 1.7753 1.1096 1.8178
CELL_PARAMETERS angstrom
5.3528 -0.0120 -1.0731
-1.9805 5.7177 -2.9662
-0.0476 0.0529 6.7385
```

## Properties
M_tot (μB/atom): 0.163
Space group: No. 15
Total energy (eV/atom): -4.3831



Entry 25:
KCoSe2 | PBE | optimized geometry Values from VASP.

```
&SYSTEM
  ibrav = 0, nat = 4, ntyp = 3
/
ATOMIC_SPECIES
K 39.10 K.upf
Co 58.93 Co.upf
Se 78.96 Se.upf
ATOMIC_POSITIONS angstrom
K 0.0000 0.0000 0.0000
Co -1.7371 3.4669 4.6216
Se -0.8685 1.7334 2.3108
Se -2.6056 5.2003 6.9323
CELL_PARAMETERS angstrom
-0.6043 0.1837 4.8851
0.8744 4.1922 2.4339
-3.7442 2.5578 1.9241
```

## Properties
M_tot (μB/atom): 0.541
Space group: No. 225
Total energy (eV/atom): -3.6359



Entry 26:
KCoSe4 | PBE | optimized geometry Values from VASP.

```
&SYSTEM
  ibrav = 0, nat = 6, ntyp = 3
/
ATOMIC_SPECIES
K 39.10 K.upf
Co 58.93 Co.upf
Se 78.96 Se.upf
ATOMIC_POSITIONS angstrom
K 0.0000 0.0000 0.0000
Co -0.0103 5.7485 9.0736
Se 0.6770 2.8631 7.3622
Se -1.6673 4.2891 6.4561
Se 0.9680 5.2919 5.8237
Se -0.0052 2.8853 4.5542
CELL_PARAMETERS angstrom
1.3803 -0.0449 5.6814
1.9691 4.8693 2.5687
-3.3631 2.8404 3.8480
```

## Properties
M_tot (μB/atom): 0.366
Space group: No. 216
Total energy (eV/atom): -3.2458



Entry 27:
KCo2TcSe | PBE | optimized geometry Values from VASP.

```
&SYSTEM
  ibrav = 0, nat = 5, ntyp = 4
/
ATOMIC_SPECIES
K 39.10 K.upf
Co 58.93 Co.upf
Tc 98.00 Tc.upf
Se 78.96 Se.upf
ATOMIC_POSITIONS angstrom
K 0.0000 2.9845 0.0000
Co 0.0000 0.0000 2.2449
Co 2.2449 0.0000 0.0000
Tc 0.0000 0.0000 0.0000
Se 2.2449 2.9845 2.2449
CELL_PARAMETERS angstrom
4.4898 0.0000 0.0000
0.0000 5.9690 0.0000
0.0000 0.0000 4.4898
```

## Properties
M_tot (μB/atom): 0.765
Space group: No. 123
Total energy (eV/atom): -4.4416